The following is a DFT calculation (PBE) of a geometry-optimized Ca2TaAlSn structure.

It has space group P4/mmm (No. 123), with a = 5.4306 Å, b = 5.4306 Å, c = 4.9853 Å, α = 90.00°, β = 90.00° and γ = 90.00°. The asymmetric unit holds Ca at (0.0000, 0.5000, 0.0000), Ta at (0.0000, 0.0000, 0.5000), Al at (0.0000, 0.0000, 0.0000) and Sn at (0.5000, 0.5000, 0.5000).

The calculation puts the calculated total energy at -0.3038 Ry per atom. For the spin magnetization, the calculation gives 0.00 μB per formula unit. Its density of states at the Fermi level is 5.40 states/eV/cell.

The following is a DFT calculation (PBE) of a geometry-optimized SrLiRe2 structure.

It has space group C2/m (No. 12), with a = 5.3429 Å, b = 10.4747 Å, c = 2.7182 Å, α = 90.00°, β = 108.41° and γ = 90.00°. The asymmetric unit holds Sr at (0.0000, 0.0000, 0.0000), Li at (0.0000, 0.5000, 0.0000) and Re at (0.2500, 0.2500, 0.5000).

The calculation puts the calculated total energy at -0.4642 Ry per atom. For the spin magnetization, the calculation gives 0.00 μB per formula unit. The energy above the lowest structure with this stoichiometry is 366 meV/atom. Its density of states at the Fermi level is 5.04 states/eV/cell.

The following is a DFT calculation (PBE) of a geometry-optimized CsBaInSe3 structure.

It has space group C2/m (No. 12), with a = 17.6573 Å, b = 5.5415 Å, c = 9.6106 Å, α = 90.00°, β = 104.09° and γ = 90.00°. The asymmetric unit holds Cs at (0.1495, 0.0000, 0.0645), Ba at (0.1461, 0.0000, 0.5675), In at (0.0086, 0.5000, 0.2771), Se at (0.0021, 0.0000, 0.2767), Se at (0.1420, 0.5000, 0.7799) and Se at (0.1600, 0.5000, 0.3481).

The calculation puts the calculated total energy at -0.2787 Ry per atom. For the spin magnetization, the calculation gives 0.00 μB per formula unit.

The following is a DFT calculation (PBE) of a geometry-optimized SmY3Tm6Th2 structure.

It has space group C2/m (No. 12), with a = 6.1471 Å, b = 10.6368 Å, c = 11.6645 Å, α = 90.00°, β = 100.13° and γ = 90.00°. The asymmetric unit holds Sm at (0.0000, 0.0000, 0.0000), Y at (0.0000, 0.1662, 0.5000), Y at (0.0000, 0.5000, 0.5000), Tm at (0.2454, 0.5000, 0.2476), Tm at (0.2477, 0.3311, 0.7524) and Th at (0.0000, 0.3332, 0.0000).

The calculation puts the calculated total energy at -0.4006 Ry per atom. For the spin magnetization, the calculation gives 0.00 μB per formula unit. Its density of states at the Fermi level is 35.05 states/eV/cell.

The following is a DFT calculation (PBE) of a geometry-optimized KIn2SbBr6 structure.

It has space group R3 (No. 146, hexagonal axes), with a = 8.1466 Å, b = 8.1466 Å, c = 20.9009 Å, α = 90.00°, β = 90.00° and γ = 120.00°. The asymmetric unit holds K at (0.0000, 0.0000, 0.0000), In at (0.0000, 0.0000, 0.2908), In at (0.0000, 0.0000, 0.7974), Sb at (0.0000, 0.0000, 0.4917), Br at (0.0214, 0.3974, 0.2318) and Br at (0.0695, 0.6858, 0.0730).

The calculation puts the calculated total energy at -0.2150 Ry per atom. For the spin magnetization, the calculation gives 0.00 μB per formula unit. Its density of states at the Fermi level is 0.00 states/eV/cell.

The following is a DFT calculation (PBE) of a geometry-optimized MgPd7Au2 structure.

It has space group Cmmm (No. 65), with a = 7.2384 Å, b = 13.4360 Å, c = 4.2881 Å, α = 90.00°, β = 90.00° and γ = 90.00°. The asymmetric unit holds Mg at (0.0000, 0.0000, 0.0000), Pd at (0.0000, 0.1875, 0.0000), Pd at (0.0000, 0.5000, 0.5000), Pd at (0.1819, 0.1018, 0.5000) and Au at (0.0000, 0.2997, 0.5000).

The calculation puts the calculated total energy at -0.3071 Ry per atom. For the spin magnetization, the calculation gives 0.00 μB per formula unit. Its density of states at the Fermi level is 37.65 states/eV/cell.

The following is a DFT calculation (PBE) of a geometry-optimized Rb2NaScI6 structure.

It has space group Fm-3m (No. 225), with a = 12.0664 Å, b = 12.0664 Å, c = 12.0664 Å, α = 90.00°, β = 90.00° and γ = 90.00°. The asymmetric unit holds Rb at (0.2500, 0.2500, 0.2500), Na at (0.0000, 0.0000, 0.0000), Sc at (0.0000, 0.0000, 0.5000) and I at (0.0000, 0.0000, 0.2604).

The calculation puts the calculated total energy at -0.2361 Ry per atom. For the spin magnetization, the calculation gives 0.00 μB per formula unit. Its density of states at the Fermi level is 0.00 states/eV/cell.

The following is a DFT calculation (PBE) of a geometry-optimized SrCdF5 structure.

It has space group P4/mmm (No. 123), with a = 3.9143 Å, b = 3.9143 Å, c = 6.1333 Å, α = 90.00°, β = 90.00° and γ = 90.00°. The asymmetric unit holds Sr at (0.0000, 0.0000, 0.0000), Cd at (0.5000, 0.5000, 0.5000), F at (0.0000, 0.5000, 0.2848) and F at (0.5000, 0.5000, 0.0000).

The calculation puts the calculated total energy at -0.3135 Ry per atom. For the spin magnetization, the calculation gives 1.04 μB per formula unit. Its density of states at the Fermi level is 6.19 states/eV/cell.

The following is a DFT calculation (PBE) of a geometry-optimized Pm5Te5N2 structure.

It has space group C2/m (No. 12), with a = 14.5067 Å, b = 4.0895 Å, c = 11.1389 Å, α = 90.00°, β = 98.95° and γ = 90.00°. The asymmetric unit holds Pm at (0.0000, 0.0000, 0.0000), Pm at (0.0933, 0.0000, 0.3306), Pm at (0.1309, 0.5000, 0.7863), Te at (0.0000, 0.5000, 0.5000), Te at (0.1597, 0.5000, 0.0906), Te at (0.2358, 0.0000, 0.6156) and N at (0.0463, 0.0000, 0.8002).

The calculation puts the calculated total energy at -0.4418 Ry per atom. For the spin magnetization, the calculation gives 0.00 μB per formula unit. Its density of states at the Fermi level is 6.00 states/eV/cell.

The following is a DFT calculation (PBE) of a geometry-optimized CsRb2NaAu structure.

It has space group P4/mmm (No. 123), with a = 6.8540 Å, b = 6.8540 Å, c = 7.0629 Å, α = 90.00°, β = 90.00° and γ = 90.00°. The asymmetric unit holds Cs at (0.0000, 0.0000, 0.0000), Rb at (0.0000, 0.5000, 0.5000), Na at (0.5000, 0.5000, 0.0000) and Au at (0.0000, 0.0000, 0.5000).

The calculation puts the calculated total energy at -0.1155 Ry per atom. For the spin magnetization, the calculation gives 0.01 μB per formula unit. The energy above the lowest structure with this stoichiometry is 0 meV/atom. Its density of states at the Fermi level is 5.08 states/eV/cell.

The following is a DFT calculation (PBE) of a geometry-optimized HgIrOs structure.

It has space group I4mm (No. 107), with a = 2.8273 Å, b = 2.8273 Å, c = 12.4481 Å, α = 90.00°, β = 90.00° and γ = 90.00°. The asymmetric unit holds Hg at (0.0000, 0.0000, 0.0000), Ir at (0.0000, 0.0000, 0.3168) and Os at (0.0000, 0.0000, 0.6818).

The calculation puts the calculated total energy at -0.4683 Ry per atom. For the spin magnetization, the calculation gives 0.00 μB per formula unit. The energy above the lowest structure with this stoichiometry is 0 meV/atom. Its density of states at the Fermi level is 3.81 states/eV/cell.

The following is a DFT calculation (PBE) of a geometry-optimized CeHfZn structure.

It has space group P4/nmm (No. 129, origin choice 2), with a = 3.1102 Å, b = 3.1102 Å, c = 13.4469 Å, α = 90.00°, β = 90.00° and γ = 90.00°. The asymmetric unit holds Ce at (0.2500, 0.2500, 0.1068), Hf at (0.2500, 0.2500, 0.4194) and Zn at (0.2500, 0.2500, 0.7271).

The calculation puts the calculated total energy at -0.4283 Ry per atom. For the spin magnetization, the calculation gives 0.23 μB per formula unit. The energy above the lowest structure with this stoichiometry is 0 meV/atom. Its density of states at the Fermi level is 10.85 states/eV/cell.

> Among the records above, which one has the highest spin magnetization?

SrCdF5

> Number 3 is which compound?

CsBaInSe3